# GGA-PBE SrOs2Pt, optimized geometry
# - Density of states at the Fermi level: 4.58 states/eV/f.u.
# - VASP energy: -6.636 eV per atom
# - Relative energy among the computed polymorphs: 0.6433 eV/atom
# - Calculated formation energy: 910 meV per atom
data_SrOs2Pt
_chemical_formula_sum 'Sr1 Os2 Pt1'
_symmetry_space_group_name_H-M 'P 1'
_symmetry_Int_Tables_number 1
_symmetry_space_group_name_Hall 'P 1'
_cell_length_a 5.2792
_cell_length_b 5.2792
_cell_length_c 5.2792
_cell_angle_alpha 135.14
_cell_angle_beta 135.14
_cell_angle_gamma 65.31
loop_
_atom_site_label
_atom_site_type_symbol
_atom_site_fract_x
_atom_site_fract_y
_atom_site_fract_z
Os1 Os 0.0000 0.0000 0.0000
Os2 Os 0.5000 0.5000 0.0000
Pt1 Pt 0.2500 0.7500 0.5000
Sr1 Sr 0.7500 0.2500 0.5000


# GGA-PBE Ho2HfSc, optimized geometry
# - Density of states at the Fermi level: 6.30 states/eV/f.u.
# - VASP energy: -6.250 eV per atom
# - Relative energy among the computed polymorphs: 0.0000 eV/atom
# - Calculated formation energy: 110 meV per atom
data_Ho2HfSc
_chemical_formula_sum 'Ho2 Hf1 Sc1'
_symmetry_space_group_name_H-M 'P 1'
_symmetry_Int_Tables_number 1
_symmetry_space_group_name_Hall 'P 1'
_cell_length_a 3.3471
_cell_length_b 3.3471
_cell_length_c 9.5472
_cell_angle_alpha 90.00
_cell_angle_beta 90.00
_cell_angle_gamma 90.00
loop_
_atom_site_label
_atom_site_type_symbol
_atom_site_fract_x
_atom_site_fract_y
_atom_site_fract_z
Ho1 Ho 0.0000 0.0000 0.7400
Ho2 Ho 0.0000 0.0000 0.2600
Hf1 Hf 0.5000 0.5000 0.5000
Sc1 Sc 0.5000 0.5000 0.0000